Compound: BaLi4In2
Source: Alexandria
Functional: GGA-PBE
Structure: optimized geometry

Calculated values
M_tot = 0.00 μB/f.u.
formation enthalpy at 0 K = -176 meV/atom
symmetry = No. 115

Cell and atoms, written as POSCAR:
```
BaLi4In2
1.0
4.145 0.000 0.000
0.000 4.145 0.000
0.000 0.000 10.436
Ba Li In
1 4 2
Direct
0.000 0.000 0.000
0.000 0.000 0.500
0.000 0.500 0.294
0.500 0.000 0.706
0.500 0.500 0.500
0.000 0.500 0.713
0.500 0.000 0.287
```

---

Compound: Ba4Li2In3
Source: Alexandria
Functional: GGA-PBE
Structure: optimized geometry

Calculated values
M_tot = 0.01 μB/f.u.
formation enthalpy at 0 K = -255 meV/atom
symmetry = No. 12

Cell and atoms, written as POSCAR:
```
Ba4Li2In3
1.0
9.336 -2.250 0.000
9.336 2.250 0.000
-2.731 0.000 8.063
Ba Li In
4 2 3
Direct
0.073 0.073 0.385
0.260 0.260 0.793
0.740 0.740 0.207
0.927 0.927 0.615
0.084 0.084 0.955
0.916 0.916 0.045
0.400 0.400 0.247
0.500 0.500 0.000
0.600 0.600 0.753
```

---

Compound: Ba3LiIn11
Source: Alexandria
Functional: GGA-PBE
Structure: optimized geometry

Calculated values
M_tot = 0.00 μB/f.u.
formation enthalpy at 0 K = -345 meV/atom
symmetry = No. 194

Cell and atoms, written as POSCAR:
```
Ba3LiIn11
1.0
10.234 0.000 0.000
-5.117 8.863 0.000
0.000 0.000 10.095
Ba Li In
6 2 22
Direct
0.009 0.505 0.250
0.495 0.505 0.250
0.495 0.991 0.250
0.505 0.009 0.750
0.505 0.495 0.750
0.991 0.495 0.750
0.000 0.000 0.000
0.000 0.000 0.500
0.102 0.204 0.250
0.102 0.898 0.250
0.170 0.341 0.535
0.170 0.341 0.965
0.170 0.830 0.535
0.170 0.830 0.965
0.204 0.102 0.750
0.333 0.667 0.029
0.333 0.667 0.471
0.341 0.170 0.035
0.341 0.170 0.465
0.659 0.830 0.535
0.659 0.830 0.965
0.667 0.333 0.529
0.667 0.333 0.971
0.796 0.898 0.250
0.830 0.170 0.035
0.830 0.170 0.465
0.830 0.659 0.035
0.830 0.659 0.465
0.898 0.102 0.750
0.898 0.796 0.750
```

---

Compound: BaLiIn6
Source: Alexandria
Functional: GGA-PBE
Structure: optimized geometry

Calculated values
M_tot = 0.00 μB/f.u.
formation enthalpy at 0 K = -222 meV/atom
symmetry = No. 166

Cell and atoms, written as POSCAR:
```
BaLiIn6
1.0
2.587 1.493 9.771
-2.587 1.493 9.771
0.000 -2.987 9.771
Ba Li In
1 1 6
Direct
0.000 0.000 0.000
0.500 0.500 0.500
0.135 0.135 0.135
0.243 0.243 0.243
0.400 0.400 0.400
0.600 0.600 0.600
0.757 0.757 0.757
0.865 0.865 0.865
```